This record from the Alexandria database describes a relaxed structure of Ta2Sb2F. The functional is PBE.

Summary:
Magnetization: 0.0 μB per cell
Electronic total energy: -6.820 eV/atom
ρ: 9.93 g/cm³

Cell lengths 7.800, 7.800, 3.433 Å; angles 90.00, 90.00, 90.00 degrees
Fractional positions:
1 Ta 0.871 0.371 0.500
2 Ta 0.129 0.629 0.500
3 Ta 0.629 0.871 0.500
4 Ta 0.371 0.129 0.500
5 Sb 0.660 0.160 0.000
6 Sb 0.840 0.660 0.000
7 Sb 0.340 0.840 0.000
8 Sb 0.160 0.340 0.000
9 F 0.500 0.500 0.000
10 F 0.000 0.000 0.000